Here is an optimized crystal structure of Mg4NiRh from the Alexandria database. Energies are from PBE.

Cell lengths 3.173, 3.173, 10.155 Å; angles 90.00, 90.00, 90.00 degrees
Space group P4/mmm (No. 123)
Asymmetric unit:
Mg: 0.000 0.000 0.142
Mg: 0.500 0.500 0.356
Ni: 0.500 0.500 0.000
Rh: 0.000 0.000 0.500

Properties
Calculated formation energy (eV per atom): -0.28
Energy relative to the lowest polymorph listed for this composition (meV/atom): 0
Mass density (kg/m³): 4204

***

Here is an optimized crystal structure of Tb6BiRh from the Alexandria database. Energies are from PBE.

Cell lengths 6.879, 6.886, 7.706 Å; angles 63.51, 63.58, 60.04 degrees
Space group P-1 (No. 2)
Asymmetric unit:
Tb: 0.039 0.419 0.268
Tb: 0.226 0.962 0.732
Tb: 0.418 0.774 0.268
Bi: 0.500 0.500 0.000
Rh: 0.000 0.000 0.500

Properties
Calculated formation energy (eV per atom): -0.22
Mass density (kg/m³): 7748

***

Here is an optimized crystal structure of TlRhN2O from the Alexandria database. Energies are from PBE.

Cell lengths 3.855, 3.855, 4.397 Å; angles 90.00, 90.00, 90.00 degrees
Space group P4/mmm (No. 123)
Asymmetric unit:
Tl: 0.000 0.000 0.000
Rh: 0.500 0.500 0.500
N: 0.000 0.500 0.500
O: 0.500 0.500 0.000

Properties
Formation energy from raw total energies (meV per atom): 798
Mass density (kg/m³): 8928

***

Here is an optimized crystal structure of La6Pr5Nd2 from the Alexandria database. Energies are from PBE.

Cell lengths 12.087, 21.370, 3.715 Å; angles 90.00, 90.00, 90.00 degrees
Space group Pbam (No. 55)
Asymmetric unit:
La: 0.062 0.078 0.000
La: 0.079 0.366 0.000
La: 0.179 0.633 0.500
Pr: 0.000 0.500 0.500
Pr: 0.088 0.224 0.500
Pr: 0.198 0.944 0.500
Nd: 0.170 0.785 0.000

Properties
Calculated formation energy (eV per atom): 0.09
Mass density (kg/m³): 6322

***

Here is an optimized crystal structure of FeH2Au from the Alexandria database. Energies are from PBE.

Cell lengths 4.231, 4.231, 8.450 Å; angles 90.00, 90.00, 90.00 degrees
Space group I-42d (No. 122)
Asymmetric unit:
Fe: 0.000 0.000 0.000
H: 0.189 0.250 0.125
Au: 0.000 0.000 0.500

Properties
Energy relative to the lowest polymorph listed for this composition (meV/atom): 133
Mass density (kg/m³): 11190

***

Here is an optimized crystal structure of Rb3CdRh from the Alexandria database. Energies are from PBE.

Cell lengths 6.254, 6.254, 6.254 Å; angles 90.00, 90.00, 90.00 degrees
Space group Pm-3m (No. 221)
Asymmetric unit:
Rb: 0.000 0.000 0.500
Cd: 0.500 0.500 0.500
Rh: 0.000 0.000 0.000

Properties
Calculated formation energy (eV per atom): 0.49
Energy relative to the lowest polymorph listed for this composition (meV/atom): 0
Mass density (kg/m³): 3203

***

Here is an optimized crystal structure of CsRbO2 from the Alexandria database. Energies are from PBE.

Cell lengths 7.247, 7.247, 7.247 Å; angles 90.00, 90.00, 90.00 degrees
Space group Fm-3m (No. 225)
Asymmetric unit:
Cs: 0.000 0.000 0.000
Rb: 0.000 0.000 0.500
O: 0.250 0.250 0.250

Properties
Formation energy from raw total energies (meV per atom): -516
Mass density (kg/m³): 4369

***

Here is an optimized crystal structure of CaTbPm2Hg4 from the Alexandria database. Energies are from PBE.

Cell lengths 5.3546, 5.3546, 26.1829 Å; angles 90.00, 90.00, 120.00 degrees
Space group R-3m (No. 166, hexagonal axes)
Asymmetric unit:
Ca: 0.0000 0.0000 0.0000
Tb: 0.0000 0.0000 0.5000
Pm: 0.0000 0.0000 0.2518
Hg: 0.0000 0.0000 0.1267
Hg: 0.0000 0.0000 0.3767

Properties
Calculated formation energy (eV per atom): -0.51
Mass density (kg/m³): 9895

***

Here is an optimized crystal structure of NaLa2CdIr from the Alexandria database. Energies are from PBE.

Cell lengths 5.535, 5.535, 5.404 Å; angles 90.00, 90.00, 90.00 degrees
Space group P4/mmm (No. 123)
Asymmetric unit:
Na: 0.000 0.000 0.000
La: 0.000 0.500 0.500
Cd: 0.500 0.500 0.000
Ir: 0.500 0.500 0.500

Properties
Calculated formation energy (eV per atom): -0.29
Energy relative to the lowest polymorph listed for this composition (meV/atom): 0
Mass density (kg/m³): 6072

***

Here is an optimized crystal structure of Ti2BiBRu from the Alexandria database. Energies are from PBE.

Cell lengths 4.181, 4.181, 4.846 Å; angles 90.00, 90.00, 90.00 degrees
Space group P4/mmm (No. 123)
Asymmetric unit:
Ti: 0.000 0.500 0.000
Bi: 0.000 0.000 0.500
B: 0.000 0.000 0.000
Ru: 0.500 0.500 0.500

Properties
Calculated formation energy (eV per atom): 0.36
Mass density (kg/m³): 8167

***

Here is an optimized crystal structure of ZrIn3O from the Alexandria database. Energies are from PBE.

Cell lengths 4.684, 4.684, 4.684 Å; angles 90.00, 90.00, 90.00 degrees
Space group Pm-3m (No. 221)
Asymmetric unit:
Zr: 0.000 0.000 0.000
In: 0.000 0.500 0.500
O: 0.500 0.500 0.500

Properties
Formation energy from raw total energies (meV per atom): -242
Energy relative to the lowest polymorph listed for this composition (meV/atom): 0
Mass density (kg/m³): 7297

***

Here is an optimized crystal structure of Nb2Rh from the Alexandria database. Energies are from PBE.

Cell lengths 9.903, 3.428, 6.367 Å; angles 90.00, 109.67, 90.00 degrees
Space group C2/m (No. 12)
Asymmetric unit:
Nb: 0.012 0.000 0.258
Nb: 0.171 0.500 0.090
Rh: 0.158 0.500 0.595

Properties
Calculated formation energy (eV per atom): -0.25
Mass density (kg/m³): 9421

***

Here is an optimized crystal structure of KLiMg4 from the Alexandria database. Energies are from PBE.

Cell lengths 8.848, 8.848, 8.848 Å; angles 90.00, 90.00, 90.00 degrees
Space group F-43m (No. 216)
Asymmetric unit:
K: 0.000 0.000 0.000
Li: 0.250 0.250 0.750
Mg: 0.124 0.124 0.376

Properties
Calculated formation energy (eV per atom): 0.12
Mass density (kg/m³): 1374